# Rb2VPdF6 GGA+U optimized geometry
data_Rb2VPdF6
_chemical_formula_sum 'Rb2 V1 Pd1 F6'
_cell_length_a 6.386
_cell_length_b 6.386
_cell_length_c 6.178
_cell_angle_alpha 58.88
_cell_angle_beta 58.88
_cell_angle_gamma 90.00
_symmetry_space_group_name_H-M 'P 1'
_symmetry_Int_Tables_number 1
loop_
_symmetry_equiv_pos_as_xyz
'x,y,z'
loop_
_atom_site_label
_atom_site_fract_x
_atom_site_fract_y
_atom_site_fract_z
F1 0.258 0.258 0.485
F2 0.742 0.742 0.515
F3 0.284 0.284 0.000
F4 0.716 0.716 0.000
F5 0.716 0.284 0.000
F6 0.284 0.716 0.000
Rb1 0.750 0.250 0.500
Rb2 0.250 0.750 0.500
Pd1 0.000 0.000 0.000
V1 0.500 0.500 0.000
# - space group = I4/mmm
# - total DFT energy (no corrections) (Ry/atom) = -0.365
# - total magnetic moment (μB per atom) = 0.3000